1.
# PBE Sc12Co6Tc, optimized geometry
# * size of the total moment: 0.00 μB/cell
# * VASP energy: -265.819 eV/cell
data_Sc12Co6Tc
_cell_length_a 8.8655
_cell_length_b 8.8655
_cell_length_c 8.8655
_cell_angle_alpha 90.00
_cell_angle_beta 90.00
_cell_angle_gamma 90.00
_space_group_name_H-M_alt 'I m -3'
_space_group_IT_number 204
_space_group_name_Hall '-I 2 2 3'
loop_
_atom_site_label
_atom_site_fract_x
_atom_site_fract_y
_atom_site_fract_z
Sc1 0.0000 0.2893 0.1924
Co1 0.0000 0.1219 0.5000
Tc1 0.0000 0.0000 0.0000

---

2.
# PBE ReAsN2, optimized geometry
# * size of the total moment: 0.00 μB/cell
# * VASP energy: -94.125 eV/cell
data_ReAsN2
_cell_length_a 2.8823
_cell_length_b 2.8823
_cell_length_c 18.7751
_cell_angle_alpha 90.00
_cell_angle_beta 90.00
_cell_angle_gamma 120.00
_space_group_name_H-M_alt 'R -3 m'
_space_group_IT_number 166
_space_group_name_Hall '-R 3 2"'
loop_
_atom_site_label
_atom_site_fract_x
_atom_site_fract_y
_atom_site_fract_z
Re1 0.0000 0.0000 0.0000
As1 0.0000 0.0000 0.5000
N1 0.0000 0.0000 0.1075

---

3.
# PBE Nb2HPdRh, optimized geometry
# * size of the total moment: 0.00 μB/cell
# * VASP energy: -37.589 eV/cell
# * distance to the lowest polymorph of the same formula: 0 meV per atom
data_Nb2HPdRh
_cell_length_a 4.0696
_cell_length_b 4.0696
_cell_length_c 4.0480
_cell_angle_alpha 90.00
_cell_angle_beta 90.00
_cell_angle_gamma 90.00
_space_group_name_H-M_alt 'P 4/m m m'
_space_group_IT_number 123
_space_group_name_Hall '-P 4 2'
loop_
_atom_site_label
_atom_site_fract_x
_atom_site_fract_y
_atom_site_fract_z
Nb1 0.0000 0.5000 0.0000
H1 0.0000 0.0000 0.0000
Pd1 0.5000 0.5000 0.5000
Rh1 0.0000 0.0000 0.5000

---

4.
# PBE TbDy2Au, optimized geometry
# * size of the total moment: 0.00 μB/cell
# * VASP energy: -54.653 eV/cell
# * distance to the lowest polymorph of the same formula: 166 meV per atom
data_TbDy2Au
_cell_length_a 3.6600
_cell_length_b 3.6600
_cell_length_c 30.1451
_cell_angle_alpha 90.00
_cell_angle_beta 90.00
_cell_angle_gamma 120.00
_space_group_name_H-M_alt 'R -3 m'
_space_group_IT_number 166
_space_group_name_Hall '-R 3 2"'
loop_
_atom_site_label
_atom_site_fract_x
_atom_site_fract_y
_atom_site_fract_z
Tb1 0.0000 0.0000 0.0000
Dy1 0.0000 0.0000 0.2371
Au1 0.0000 0.0000 0.5000